The following is a DFT calculation (PBE) of crystalline Pr3AsI3 at its relaxed geometry.

```
data_Pr3AsI3
_chemical_formula_sum 'Pr6 As2 I6'
_space_group_name_H-M_alt 'P 1'
_space_group_IT_number 1
_space_group_name_Hall 'P 1'
_cell_length_a 4.345
_cell_length_b 9.231
_cell_length_c 12.601
_cell_angle_alpha 89.57
_cell_angle_beta 90.00
_cell_angle_gamma 90.00
loop_
_atom_site_label
_atom_site_fract_x
_atom_site_fract_y
_atom_site_fract_z
Pr1 0.250 0.330 0.625
Pr2 0.750 0.670 0.375
Pr3 0.250 0.907 0.615
Pr4 0.750 0.093 0.385
Pr5 0.250 0.879 0.154
Pr6 0.750 0.121 0.846
As1 0.250 0.880 0.384
As2 0.750 0.120 0.616
I1 0.250 0.382 0.365
I2 0.750 0.618 0.635
I3 0.250 0.861 0.881
I4 0.750 0.139 0.119
I5 0.250 0.374 0.878
I6 0.750 0.626 0.122
```

- formation energy (no corrections) (eV per atom) = -1.35
- E (eV for the cell shown) = -66.1
- crystal system = monoclinic
- space-group type = P2_1/m (11)